Entry 1:
Below is crystalline Ca2Cu2SnO6 at its relaxed geometry, with properties calculated at the PBE level.

Lattice parameters (Å, degrees): 5.3940 5.3940 5.4589 90.00 90.00 120.00
Space group P-31m (No. 162)
Inequivalent atoms, fractional coordinates:
Ca (0.3333, 0.6667, 0.0000)
Cu (0.3333, 0.6667, 0.5000)
Sn (0.0000, 0.0000, 0.5000)
O (0.0000, 0.3308, 0.2864)

E_tot, eV/atom: -5.759
Formation energy (no corrections), eV per atom: -1.581



Entry 2:
Below is crystalline IrSe3 at its relaxed geometry, with properties calculated at the PBE level.

Lattice parameters (Å, degrees): 3.006 3.006 9.211 90.00 90.00 90.00
Space group P4/mmm (No. 123)
Inequivalent atoms, fractional coordinates:
Ir (0.000, 0.000, 0.000)
Se (0.000, 0.000, 0.500)
Se (0.500, 0.500, 0.175)

Energy above the lowest structure with this stoichiometry, eV per atom: 0.535
E_tot, eV/atom: -4.472
Formation energy (no corrections), eV per atom: 0.357



Entry 3:
Below is crystalline Hf3TlBr at its relaxed geometry, with properties calculated at the PBE level.

Lattice parameters (Å, degrees): 5.366 5.366 5.366 90.00 90.00 90.00
Space group Pm-3m (No. 221)
Inequivalent atoms, fractional coordinates:
Hf (0.000, 0.000, 0.500)
Tl (0.000, 0.000, 0.000)
Br (0.500, 0.500, 0.500)

Energy above the lowest structure with this stoichiometry, eV per atom: 0.773
E_tot, eV/atom: -5.327
Formation energy (no corrections), eV per atom: 1.453



Entry 4:
Below is crystalline Ac7PtPb4 at its relaxed geometry, with properties calculated at the PBE level.

Lattice parameters (Å, degrees): 17.072 5.855 12.124 90.00 127.01 90.00
Space group C2/m (No. 12)
Inequivalent atoms, fractional coordinates:
Ac (0.000, 0.000, 0.000)
Ac (0.078, 0.500, 0.288)
Ac (0.142, 0.000, 0.555)
Ac (0.210, 0.500, 0.864)
Pt (0.000, 0.500, 0.000)
Pb (0.078, 0.000, 0.781)
Pb (0.224, 0.000, 0.345)

E_form, eV per atom: -0.41
E_tot, eV/atom: -4.545



Entry 5:
Below is crystalline Ag2POs at its relaxed geometry, with properties calculated at the PBE level.

Lattice parameters (Å, degrees): 5.169 9.188 2.705 90.00 90.00 90.00
Space group Cmmm (No. 65)
Inequivalent atoms, fractional coordinates:
Ag (0.250, 0.250, 0.000)
P (0.000, 0.000, 0.500)
Os (0.000, 0.500, 0.500)

E_form, eV per atom: 0.66
E_tot, eV/atom: -4.927



Entry 6:
Below is crystalline FeAg5Cl8 at its relaxed geometry, with properties calculated at the PBE level.

Lattice parameters (Å, degrees): 8.287 8.287 12.951 90.00 90.00 90.00
Space group I-4 (No. 82)
Inequivalent atoms, fractional coordinates:
Fe (0.000, 0.000, 0.000)
Ag (0.000, 0.500, 0.750)
Ag (0.179, 0.811, 0.485)
Cl (0.021, 0.225, 0.093)
Cl (0.022, 0.764, 0.645)

E_tot, eV/atom: -3.197
Formation energy (no corrections), eV per atom: -0.519



Entry 7:
Below is crystalline Tb2Ni3P4Ir at its relaxed geometry, with properties calculated at the PBE level.

Lattice parameters (Å, degrees): 4.022 4.022 9.226 90.00 90.00 90.00
Space group P-4m2 (No. 115)
Inequivalent atoms, fractional coordinates:
Tb (0.000, 0.500, 0.240)
Ni (0.000, 0.500, 0.884)
Ni (0.500, 0.500, 0.500)
P (0.000, 0.000, 0.000)
P (0.000, 0.500, 0.639)
P (0.500, 0.500, 0.000)
Ir (0.000, 0.000, 0.500)

E_form, eV per atom: -0.97
E_tot, eV/atom: -6.684



Entry 8:
Below is crystalline Pr2RuN3 at its relaxed geometry, with properties calculated at the PBE level.

Lattice parameters (Å, degrees): 5.374 11.229 12.078 90.00 94.22 90.00
Space group C2/c (No. 15)
Inequivalent atoms, fractional coordinates:
Pr (0.229, 0.205, 0.354)
Pr (0.239, 0.105, 0.934)
Ru (0.210, 0.494, 0.826)
N (0.000, 0.010, 0.250)
N (0.000, 0.380, 0.250)
N (0.204, 0.316, 0.869)
N (0.245, 0.101, 0.534)

E_tot, eV/atom: -8.082
Formation energy (no corrections), eV per atom: -0.780



Entry 9:
Below is crystalline Nd6Ho5Er at its relaxed geometry, with properties calculated at the PBE level.

Lattice parameters (Å, degrees): 5.122 10.090 15.314 90.00 90.00 90.00
Space group Immm (No. 71)
Inequivalent atoms, fractional coordinates:
Nd (0.000, 0.250, 0.000)
Nd (0.000, 0.250, 0.333)
Ho (0.000, 0.000, 0.167)
Ho (0.000, 0.000, 0.500)
Ho (0.000, 0.500, 0.167)
Er (0.000, 0.500, 0.500)

E_form, eV per atom: 0.02
E_tot, eV/atom: -4.655



Entry 10:
Below is crystalline RbCr2N at its relaxed geometry, with properties calculated at the PBE level.

Lattice parameters (Å, degrees): 9.050 9.050 9.050 90.00 90.00 90.00
Space group Fd-3m (No. 227, origin choice 2)
Inequivalent atoms, fractional coordinates:
Rb (0.125, 0.125, 0.125)
Cr (0.000, 0.000, 0.500)
N (0.125, 0.125, 0.625)

E_tot, eV/atom: -6.725
Formation energy (no corrections), eV per atom: 0.410



Entry 11:
Below is crystalline AcPrTaN3 at its relaxed geometry, with properties calculated at the PBE level.

Lattice parameters (Å, degrees): 7.773 3.696 8.352 90.00 98.34 90.00
Space group P2_1/m (No. 11)
Inequivalent atoms, fractional coordinates:
Ac (0.172, 0.250, 0.179)
Pr (0.179, 0.250, 0.609)
Ta (0.395, 0.750, 0.896)
N (0.124, 0.750, 0.388)
N (0.152, 0.750, 0.907)
N (0.494, 0.250, 0.847)

E_tot, eV/atom: -8.604
Formation energy (no corrections), eV per atom: -0.985



Entry 12:
Below is crystalline GdYZnPb at its relaxed geometry, with properties calculated at the PBE level.

Lattice parameters (Å, degrees): 7.462 7.462 7.462 90.00 90.00 90.00
Space group F-43m (No. 216)
Inequivalent atoms, fractional coordinates:
Gd (0.000, 0.000, 0.000)
Y (0.000, 0.000, 0.500)
Zn (0.250, 0.250, 0.750)
Pb (0.250, 0.250, 0.250)

E_form, eV per atom: -0.40
E_tot, eV/atom: -6.778



Entry 13:
Below is crystalline Cs2InAu2 at its relaxed geometry, with properties calculated at the PBE level.

Lattice parameters (Å, degrees): 7.750 13.688 15.763 90.00 90.00 90.00
Space group Fddd (No. 70, origin choice 2)
Inequivalent atoms, fractional coordinates:
Cs (0.125, 0.294, 0.125)
In (0.125, 0.125, 0.625)
Au (0.000, 0.000, 0.500)

E_form, eV per atom: -0.28
Energy above the lowest structure with this stoichiometry, eV per atom: 0.000
E_tot, eV/atom: -2.476



Entry 14:
Below is crystalline Ac12PrCo7 at its relaxed geometry, with properties calculated at the PBE level.

Lattice parameters (Å, degrees): 14.9296 14.9296 10.1895 90.00 90.00 120.00
Space group R-3 (No. 148, hexagonal axes)
Inequivalent atoms, fractional coordinates:
Ac (0.0263, 0.5858, 0.1603)
Ac (0.0477, 0.1701, 0.8268)
Pr (0.0000, 0.0000, 0.5000)
Co (0.0000, 0.0000, 0.0000)
Co (0.0447, 0.1870, 0.3332)

E_form, eV per atom: -0.01
E_tot, eV/atom: -5.204



Entry 15:
Below is crystalline Sn5PdAu at its relaxed geometry, with properties calculated at the PBE level.

Lattice parameters (Å, degrees): 11.153 6.656 11.037 90.00 120.20 90.00
Space group C2/c (No. 15)
Inequivalent atoms, fractional coordinates:
Sn (0.000, 0.225, 0.250)
Sn (0.131, 0.417, 0.648)
Sn (0.149, 0.133, 0.037)
Pd (0.000, 0.186, 0.750)
Au (0.250, 0.250, 0.500)

E_form, eV per atom: -0.07
E_tot, eV/atom: -4.141



Entry 16:
Below is crystalline CeGe2SbRh5 at its relaxed geometry, with properties calculated at the PBE level.

Lattice parameters (Å, degrees): 4.087 4.087 10.677 90.00 90.00 90.00
Space group P4/mmm (No. 123)
Inequivalent atoms, fractional coordinates:
Ce (0.000, 0.000, 0.000)
Ge (0.500, 0.500, 0.224)
Sb (0.000, 0.000, 0.500)
Rh (0.000, 0.500, 0.346)
Rh (0.500, 0.500, 0.000)

E_tot, eV/atom: -6.719
Formation energy (no corrections), eV per atom: -0.491



Entry 17:
Below is crystalline CsV6S8 at its relaxed geometry, with properties calculated at the PBE level.

Lattice parameters (Å, degrees): 9.3249 9.3249 3.2802 90.00 90.00 120.00
Space group P-3 (No. 147)
Inequivalent atoms, fractional coordinates:
Cs (0.0000, 0.0000, 0.0000)
V (0.1168, 0.4896, 0.2478)
S (0.0536, 0.6985, 0.2550)
S (0.3333, 0.6667, 0.7487)

E_tot, eV/atom: -6.914
Formation energy (no corrections), eV per atom: -1.008



Entry 18:
Below is crystalline La3TlN at its relaxed geometry, with properties calculated at the PBE level.

Lattice parameters (Å, degrees): 8.951 6.614 11.018 90.00 120.43 90.00
Space group P2_1/c (No. 14)
Inequivalent atoms, fractional coordinates:
La (0.076, 0.070, 0.378)
La (0.201, 0.583, 0.535)
La (0.344, 0.155, 0.772)
Tl (0.427, 0.677, 0.886)
N (0.066, 0.241, 0.579)

E_tot, eV/atom: -5.773
Formation energy (no corrections), eV per atom: -0.678



Entry 19:
Below is crystalline CaTmOsO6 at its relaxed geometry, with properties calculated at the PBE level.

Lattice parameters (Å, degrees): 5.4745 5.4745 9.7394 90.00 90.00 120.00
Space group P-31c (No. 163)
Inequivalent atoms, fractional coordinates:
Ca (0.0000, 0.0000, 0.0000)
Tm (0.3333, 0.6667, 0.2500)
Os (0.3333, 0.6667, 0.7500)
O (0.0420, 0.3810, 0.6396)

E_tot, eV/atom: -7.439
Formation energy (no corrections), eV per atom: -2.166



Entry 20:
Below is crystalline LiLu2Hg at its relaxed geometry, with properties calculated at the PBE level.

Lattice parameters (Å, degrees): 7.231 7.231 7.231 90.00 90.00 90.00
Space group Fm-3m (No. 225)
Inequivalent atoms, fractional coordinates:
Li (0.000, 0.000, 0.000)
Lu (0.250, 0.250, 0.250)
Hg (0.000, 0.000, 0.500)

E_form, eV per atom: -0.22
Energy above the lowest structure with this stoichiometry, eV per atom: 0.009
E_tot, eV/atom: -3.030



Entry 21:
Below is crystalline Tl2FeSi at its relaxed geometry, with properties calculated at the PBE level.

Lattice parameters (Å, degrees): 4.273 3.891 5.464 90.00 112.60 90.00
Space group Pm (No. 6)
Inequivalent atoms, fractional coordinates:
Tl (0.000, 0.000, 0.000)
Tl (0.304, 0.500, 0.611)
Fe (0.719, 0.000, 0.437)
Si (0.600, 0.500, 0.197)

Energy above the lowest structure with this stoichiometry, eV per atom: 0.167
E_tot, eV/atom: -4.254
Formation energy (no corrections), eV per atom: 0.401



What are the calculated density values for these records? In order: 5.09; 8.56; 8.81; 8.97; 11.30; 3.28; 9.01; 7.77; 7.79; 3.65; 8.27; 8.29; 6.15; 8.30; 8.41; 8.58; 4.67; 7.50; 6.51; 9.79; 9.75 g/cm³.